Entry 1:
## SmDyCdBi (PBE)

Data for crystalline SmDyCdBi at its relaxed geometry.

Properties
**SG**: No. 216
**Formation energy**: -1.7 eV per formula unit
**Total DFT energy (no corrections)**: -3.9654 eV/atom

a b c (Å): 5.431 5.431 5.431
angles (deg): 60.00 60.00 60.00
Atoms (fractional coordinates):
1 Sm 0.750 0.750 0.750
2 Cd 0.500 0.500 0.500
3 Bi 0.000 0.000 0.000
4 Dy 0.250 0.250 0.250



Entry 2:
## La2PrDy9 (PBE)

Data for crystalline La2PrDy9 at its relaxed geometry.

Properties
**E above lowest polymorph**: 0.051 eV/atom
**SG**: No. 191
**Formation energy**: 0.9 eV per formula unit
**Total DFT energy (no corrections)**: -4.5928 eV/atom

a b c (Å): 3.513 11.401 11.401
angles (deg): 120.00 90.00 90.00
Atoms (fractional coordinates):
1 Dy 0.500 0.174 0.347
2 Dy 0.000 0.500 0.500
3 La 0.000 0.667 0.333
4 Dy 0.000 0.000 0.500
5 La 0.000 0.333 0.667
6 Dy 0.500 0.347 0.174
7 Dy 0.500 0.653 0.826
8 Pr 0.000 0.000 0.000
9 Dy 0.000 0.500 0.000
10 Dy 0.500 0.174 0.826
11 Dy 0.500 0.826 0.653
12 Dy 0.500 0.826 0.174